1.
Here is a geometry-optimized Ac5TlCo structure from the Alexandria database. Energies are from PBE.

extended XYZ file:
```
14
Lattice="7.3064 -0.3558 -0.5757 -0.5024 7.2978 -0.5757 -0.5400 -0.5509 10.2091" Properties=species:S:1:pos:R:3 pbc="T T T"
Ac 6.3808 2.1640 0.5942
Ac 5.1713 4.1637 4.2723
Ac 1.7656 6.1475 5.6987
Ac 0.2943 6.2468 1.9765
Ac 2.4749 1.4126 -0.3192
Ac 3.7891 4.9784 9.3768
Ac 5.9697 0.1442 7.0811
Ac 4.4984 0.2435 3.3589
Ac 1.0927 2.2273 4.7854
Ac -0.1168 4.2270 8.4635
Tl 2.7411 3.8486 1.9765
Tl 3.5229 2.5424 7.0811
Co 0.0000 0.0000 0.0000
Co -0.2700 -0.2755 5.1046
```

Properties
M_tot ... 0.0 μB/cell
Energy relative to the elements ... -0.559 eV/f.u.

2.
Here is a geometry-optimized Ac5Tl2Co structure from the Alexandria database. Energies are from PBE.

extended XYZ file:
```
16
Lattice="6.0676 0.0000 0.0000 -3.0338 6.0138 0.0000 0.0000 0.0000 16.5577" Properties=species:S:1:pos:R:3 pbc="T T T"
Ac 3.0338 4.8735 14.5437
Ac 3.0338 4.8735 10.2928
Ac 0.0000 4.8646 6.2660
Ac 0.0000 4.8646 2.0128
Ac 3.0338 2.9990 4.1394
Ac 0.0000 3.0148 12.4183
Ac 3.0338 1.1492 10.2916
Ac 3.0338 1.1492 14.5449
Ac 0.0000 1.1404 2.0139
Ac 0.0000 1.1404 6.2649
Tl 3.0338 3.0126 7.4358
Tl 3.0338 3.0126 0.8430
Tl 0.0000 3.0012 9.1218
Tl 0.0000 3.0012 15.7147
Co 3.0338 3.0112 12.4183
Co 0.0000 3.0026 4.1394
```

Properties
M_tot ... 0.0 μB/cell
Energy relative to the elements ... -0.511 eV/f.u.

3.
Here is a geometry-optimized Ac5Tl2Co2 structure from the Alexandria database. Energies are from PBE.

extended XYZ file:
```
18
Lattice="7.6595 0.0000 -2.5100 -0.7763 7.1716 -2.3689 -0.2843 -0.0615 12.0742" Properties=species:S:1:pos:R:3 pbc="T T T"
Ac 5.2320 5.3382 -3.4320
Ac 1.0025 5.1381 9.5153
Ac 5.6289 1.7524 -2.2504
Ac 1.3820 1.5523 10.7026
Ac 5.3811 5.9800 4.6844
Ac 1.2504 0.8286 2.6104
Ac 2.6529 2.3941 6.8901
Ac 3.9786 4.4145 0.4047
Ac 6.3693 1.1032 3.4885
Ac 0.3723 4.6890 4.1420
Tl 6.2013 2.7014 6.5128
Tl 0.4210 4.1924 0.7538
Tl 2.2976 6.2872 6.4804
Tl 4.3247 0.6066 0.7862
Co -0.7632 7.0510 -2.3291
Co 3.4547 3.4652 -2.3996
Co 5.5355 5.6888 2.0843
Co 0.9896 2.1030 4.8857
```

Properties
M_tot ... 0.0 μB/cell
Energy relative to the elements ... -0.005 eV/f.u.

Q: M_tot of number 3 (Ac5Tl2Co2)?
A: 0.0 μB/cell

Q: Look up the energy relative to the elements of the second one.
A: -0.511 eV/f.u.

Repeat the first record exactly.
Here is a geometry-optimized Ac5TlCo structure from the Alexandria database. Energies are from PBE.

extended XYZ file:
```
14
Lattice="7.3064 -0.3558 -0.5757 -0.5024 7.2978 -0.5757 -0.5400 -0.5509 10.2091" Properties=species:S:1:pos:R:3 pbc="T T T"
Ac 6.3808 2.1640 0.5942
Ac 5.1713 4.1637 4.2723
Ac 1.7656 6.1475 5.6987
Ac 0.2943 6.2468 1.9765
Ac 2.4749 1.4126 -0.3192
Ac 3.7891 4.9784 9.3768
Ac 5.9697 0.1442 7.0811
Ac 4.4984 0.2435 3.3589
Ac 1.0927 2.2273 4.7854
Ac -0.1168 4.2270 8.4635
Tl 2.7411 3.8486 1.9765
Tl 3.5229 2.5424 7.0811
Co 0.0000 0.0000 0.0000
Co -0.2700 -0.2755 5.1046
```

Properties
M_tot ... 0.0 μB/cell
Energy relative to the elements ... -0.559 eV/f.u.